(1)
Below is an optimized crystal structure of In2Pt2Se, with properties calculated at the PBE level.

The structure in POSCAR format:
```
In2Pt2Se
1.0
7.370 0.000 0.000
0.000 7.370 0.000
0.000 0.000 3.625
In Pt Se
4 4 2
direct
0.840 0.340 0.500
0.340 0.160 0.500
0.160 0.660 0.500
0.660 0.840 0.500
0.639 0.139 0.000
0.139 0.361 0.000
0.861 0.639 0.000
0.361 0.861 0.000
0.000 0.000 0.000
0.500 0.500 0.000
```

## Properties
Space-group type: P4/mbm (127)
Electronic total energy (eV per atom): -4.4728
Uncorrected formation energy (eV per formula unit): -1.321
Excess energy over the best structure of this formula in the dataset (eV per atom): 0.000

=====

(2)
Below is an optimized crystal structure of CuAg2SnW, with properties calculated at the PBE level.

The structure in POSCAR format:
```
CuAg2SnW
1.0
4.714 0.000 0.000
0.000 4.782 0.000
0.000 0.000 4.714
W Sn Cu Ag
1 1 1 2
direct
0.500 0.500 0.500
0.000 0.500 0.000
0.000 0.000 0.000
0.500 0.000 0.000
0.000 0.000 0.500
```

## Properties
Space-group type: P4/mmm (123)
Electronic total energy (eV per atom): -4.0626
Energy of formation (eV/atom): 1.29

=====

(3)
Below is an optimized crystal structure of IrSe2, with properties calculated at the PBE level.

The structure in POSCAR format:
```
IrSe2
1.0
-1.577 1.331 -4.412
4.027 -1.870 -2.003
-4.088 -5.218 2.576
Se Ir
4 2
direct
0.699 0.699 0.398
0.301 0.301 0.602
0.551 0.051 0.102
0.949 0.449 0.898
0.500 0.500 0.000
0.750 0.250 0.500
```

## Properties
Space-group type: I4_1/amd (141)
Electronic total energy (eV per atom): -5.2295
Uncorrected formation energy (eV per formula unit): 0.142

=====

> The lowest electronic total energy belongs to which entry?

IrSe2